(1)
# InCo10

An optimized crystal structure of InCo10 (PBE, the Open Quantum Materials Database).

E	-0.4847	Ry/atom

Cell and atoms, written as CIF:
```
data_InCo10
_chemical_formula_sum 'In4 Co40'
_symmetry_space_group_name_H-M 'C 1 2/m 1'
_symmetry_Int_Tables_number 12
_cell_length_a 7.8216
_cell_length_b 3.4786
_cell_length_c 27.8688
_cell_angle_alpha 90.00
_cell_angle_beta 90.34
_cell_angle_gamma 90.00
loop_
_symmetry_equiv_pos_as_xyz
'x,y,z'
'-x,-y,-z'
'-x,y,-z'
'x,-y,z'
'x+1/2,y+1/2,z'
'-x+1/2,-y+1/2,-z'
'-x+1/2,y+1/2,-z'
'x+1/2,-y+1/2,z'
loop_
_atom_site_label
_atom_site_fract_x
_atom_site_fract_y
_atom_site_fract_z
In1 0.1438 0.0000 0.1876
Co1 0.0482 0.5000 0.2607
Co2 0.0495 0.0000 0.4012
Co3 0.0500 0.0000 0.6837
Co4 0.0498 0.5000 0.5421
Co5 0.1487 0.5000 0.3446
Co6 0.1502 0.0000 0.4860
Co7 0.1518 0.5000 0.6272
Co8 0.1530 0.0000 0.7661
Co9 0.2501 0.0000 0.2887
Co10 0.2495 0.0000 0.5706
```

=====

(2)
# Sn4Ir3Se

An optimized crystal structure of Sn4Ir3Se (PBE, the Open Quantum Materials Database).

E	-0.4263	Ry/atom

Cell and atoms, written as CIF:
```
data_Sn4Ir3Se
_chemical_formula_sum 'Sn4 Ir3 Se1'
_symmetry_space_group_name_H-M 'P 1 m 1'
_symmetry_Int_Tables_number 6
_cell_length_a 3.6264
_cell_length_b 4.3117
_cell_length_c 10.1997
_cell_angle_alpha 90.00
_cell_angle_beta 90.33
_cell_angle_gamma 90.00
loop_
_symmetry_equiv_pos_as_xyz
'x,y,z'
'x,-y,z'
loop_
_atom_site_label
_atom_site_fract_x
_atom_site_fract_y
_atom_site_fract_z
Sn1 0.0000 0.0000 0.0000
Sn2 0.0095 0.5000 0.2313
Sn3 0.4245 0.0000 0.4989
Sn4 0.9865 0.5000 0.7662
Ir1 0.4663 0.0000 0.7948
Ir2 0.4794 0.0000 0.2044
Ir3 0.5436 0.5000 0.9999
Se1 0.9132 0.5000 0.4984
```

=====

(3)
# Dy2HoFe9

An optimized crystal structure of Dy2HoFe9 (PBE, the Open Quantum Materials Database).

ΔH_f (0 K)	-0.07	eV/atom

Cell and atoms, written as CIF:
```
data_Dy2HoFe9
_chemical_formula_sum 'Dy6 Ho3 Fe27'
_symmetry_space_group_name_H-M 'R -3 m'
_symmetry_Int_Tables_number 166
_symmetry_space_group_name_Hall '-R 3 2"'
_cell_length_a 5.0412
_cell_length_b 5.0412
_cell_length_c 24.1320
_cell_angle_alpha 90.00
_cell_angle_beta 90.00
_cell_angle_gamma 120.00
loop_
_atom_site_label
_atom_site_fract_x
_atom_site_fract_y
_atom_site_fract_z
Dy1 0.0000 0.0000 0.1418
Ho1 0.0000 0.0000 0.0000
Fe1 0.0000 0.0000 0.3328
Fe2 0.0000 0.0000 0.5000
Fe3 0.0005 0.5002 0.0813
```

=====

(4)
# SrCoGe2Pd

An optimized crystal structure of SrCoGe2Pd (PBE, the Open Quantum Materials Database).

E	-0.3794	Ry/atom

Cell and atoms, written as CIF:
```
data_SrCoGe2Pd
_chemical_formula_sum 'Sr2 Co2 Ge4 Pd2'
_symmetry_space_group_name_H-M 'I -4 m 2'
_symmetry_Int_Tables_number 119
_symmetry_space_group_name_Hall 'I -4 -2'
_cell_length_a 4.2576
_cell_length_b 4.2576
_cell_length_c 10.4657
_cell_angle_alpha 90.00
_cell_angle_beta 90.00
_cell_angle_gamma 90.00
loop_
_atom_site_label
_atom_site_fract_x
_atom_site_fract_y
_atom_site_fract_z
Sr1 0.0000 0.0000 0.0000
Co1 0.0000 0.5000 0.7500
Ge1 0.0000 0.0000 0.3690
Pd1 0.0000 0.5000 0.2500
```